# Ce3MgRh3

Ce3MgRh3 after structural relaxation (GGA-PBE, the Alexandria database).

The structure in POSCAR format:
```
Ce3MgRh3
1.0
4.209 -5.246 0.000
4.209 5.246 0.000
0.000 0.000 7.021
Ce Mg Rh
6 2 6
Cartesian
4.209 3.442 0.000
4.209 2.683 3.511
3.161 0.000 6.085
5.257 0.000 0.936
4.209 -2.683 3.511
4.209 -3.442 0.000
2.109 0.000 2.540
6.309 0.000 4.481
2.360 2.503 1.580
0.636 0.000 4.921
6.057 2.503 5.441
2.360 -2.503 1.580
7.782 0.000 2.100
6.057 -2.503 5.441
```

Energy of formation (meV per atom): -582
ρ (g/cm3): 8.07
Crystal system: monoclinic
SG: C2/m (12)